# 1
Computed, not measured: an optimized crystal structure of Sr2C at the PBE level of DFT.

The formation energy comes out at 1.72 eV/f.u. The value obtained for the total magnetic moment is 0.00 μB/f.u.

The structure belongs to space group Pa-3 (No. 205); the cell edges are 6.9184, 6.9184 and 6.9184 Å and the angles 90.00°, 90.00° and 90.00°. The inequivalent atoms are Sr at (0.1667, 0.1667, 0.1667) and C at (0.0000, 0.0000, 0.5000).

***

# 2
Computed, not measured: an optimized crystal structure of SrC at the PBE level of DFT.

The formation energy comes out at 3.12 eV/f.u. The value obtained for the total magnetic moment is 0.98 μB/f.u.

The structure belongs to space group I4_1/amd (No. 141, origin choice 2); the cell edges are 3.8510, 3.8510 and 11.1645 Å and the angles 90.00°, 90.00° and 90.00°. The inequivalent atoms are Sr at (0.0000, 0.2500, 0.3750) and C at (0.0000, 0.2500, 0.8750).

***

# 3
Computed, not measured: an optimized crystal structure of SrC at the PBE level of DFT.

The formation energy comes out at 2.53 eV/f.u. The value obtained for the total magnetic moment is 2.00 μB/f.u.

The structure belongs to space group Fm-3m (No. 225); the cell edges are 5.6750, 5.6750 and 5.6750 Å and the angles 90.00°, 90.00° and 90.00°. The inequivalent atoms are Sr at (0.0000, 0.0000, 0.0000) and C at (0.0000, 0.0000, 0.5000).

***

# 4
Computed, not measured: an optimized crystal structure of Sr2C at the PBE level of DFT.

The formation energy comes out at 2.09 eV/f.u. The value obtained for the total magnetic moment is 0.83 μB/f.u.

The structure belongs to space group P-6m2 (No. 187); the cell edges are 3.8785, 3.8785 and 7.5066 Å and the angles 90.00°, 90.00° and 120.00°. The inequivalent atoms are Sr at (0.0000, 0.0000, 0.2094) and C at (0.3333, 0.6667, 0.0000).